(1)
Computed, not measured: crystalline Tm2AlZn7 at its relaxed geometry at the PBE-GGA level of DFT.

Cell: 4.020 4.020 11.093 Å, 90.00 90.00 90.00°
Fractional coordinates of all 10 atoms:
Tm 0.500 0.000 0.753
Tm 0.000 0.500 0.247
Al 0.500 0.500 0.000
Zn 0.000 0.500 0.860
Zn 0.500 0.000 0.359
Zn 0.500 0.000 0.140
Zn 0.000 0.500 0.641
Zn 0.000 0.000 0.500
Zn 0.000 0.000 0.000
Zn 0.500 0.500 0.500

Computed properties:
Total energy ... -2.454 eV per atom
Size of the total moment ... 0.00 μB/f.u.
DOS(E_F) ... 4.7 states/eV/cell

(2)
Computed, not measured: crystalline Tm3Al2Zn9 at its relaxed geometry at the PBE-GGA level of DFT.

Cell: 4.266 8.085 8.085 Å, 70.46 74.70 74.70°
Fractional coordinates of all 14 atoms:
Tm 0.000 0.000 0.000
Tm 0.704 0.296 0.296
Tm 0.296 0.704 0.704
Al 0.500 0.308 0.692
Al 0.500 0.692 0.308
Zn 0.000 0.500 0.500
Zn 0.659 0.975 0.708
Zn 0.341 0.025 0.292
Zn 0.659 0.708 0.975
Zn 0.341 0.292 0.025
Zn 0.860 0.861 0.420
Zn 0.140 0.139 0.580
Zn 0.860 0.420 0.861
Zn 0.140 0.580 0.139

Computed properties:
Total energy ... -2.648 eV per atom
Size of the total moment ... 0.00 μB/f.u.
DOS(E_F) ... 6.4 states/eV/cell

(3)
Computed, not measured: crystalline TmAl4Zn12 at its relaxed geometry at the PBE-GGA level of DFT.

Cell: 7.597 7.597 7.597 Å, 109.47 109.47 109.47°
Fractional coordinates of all 17 atoms:
Tm 0.000 0.000 0.000
Al 0.000 0.500 0.000
Al 0.500 0.000 0.000
Al 0.500 0.500 0.500
Al 0.000 0.000 0.500
Zn 0.854 0.354 0.207
Zn 0.354 0.500 0.146
Zn 0.793 0.146 0.646
Zn 0.354 0.207 0.854
Zn 0.207 0.854 0.354
Zn 0.646 0.500 0.854
Zn 0.500 0.146 0.354
Zn 0.500 0.854 0.646
Zn 0.646 0.793 0.146
Zn 0.854 0.646 0.500
Zn 0.146 0.354 0.500
Zn 0.146 0.646 0.793

Computed properties:
Total energy ... -1.795 eV per atom
Size of the total moment ... 0.00 μB/f.u.
DOS(E_F) ... 10.5 states/eV/cell

(4)
Computed, not measured: crystalline Tm8Al2Zn at its relaxed geometry at the PBE-GGA level of DFT.

Cell: 5.017 6.641 9.296 Å, 103.26 105.65 90.00°
Fractional coordinates of all 11 atoms:
Tm 0.405 0.541 0.811
Tm 0.656 0.964 0.312
Tm 0.796 0.704 0.591
Tm 0.978 0.229 0.957
Tm 0.204 0.296 0.409
Tm 0.344 0.036 0.688
Tm 0.595 0.459 0.189
Tm 0.022 0.771 0.043
Al 0.811 0.262 0.623
Al 0.189 0.738 0.377
Zn 0.500 0.000 0.000

Computed properties:
Total energy ... -4.222 eV per atom
Size of the total moment ... 0.00 μB/f.u.
DOS(E_F) ... 10.3 states/eV/cell

(5)
Computed, not measured: crystalline Tm11Al9Zn4 at its relaxed geometry at the PBE-GGA level of DFT.

Cell: 3.560 12.616 12.616 Å, 112.84 90.00 90.00°
Fractional coordinates of all 24 atoms:
Tm 0.000 0.592 0.943
Tm 0.000 0.408 0.057
Tm 0.000 0.943 0.592
Tm 0.000 0.057 0.408
Tm 0.000 0.633 0.367
Tm 0.000 0.367 0.633
Tm 0.000 0.838 0.162
Tm 0.000 0.162 0.838
Tm 0.000 0.000 0.000
Tm 0.000 0.700 0.700
Tm 0.000 0.300 0.300
Al 0.500 0.631 0.163
Al 0.500 0.369 0.837
Al 0.500 0.163 0.631
Al 0.500 0.837 0.369
Al 0.500 0.784 0.927
Al 0.500 0.216 0.073
Al 0.500 0.927 0.784
Al 0.500 0.073 0.216
Al 0.500 0.500 0.500
Zn 0.500 0.552 0.755
Zn 0.500 0.448 0.245
Zn 0.500 0.755 0.552
Zn 0.500 0.245 0.448

Computed properties:
Total energy ... -4.035 eV per atom
Size of the total moment ... 0.00 μB/f.u.
DOS(E_F) ... 13.4 states/eV/cell

(6)
Computed, not measured: crystalline Tm3Al2Zn4 at its relaxed geometry at the PBE-GGA level of DFT.

Cell: 4.469 5.652 8.455 Å, 112.09 90.00 113.29°
Fractional coordinates of all 9 atoms:
Tm 0.663 0.327 0.673
Tm 0.000 0.000 0.000
Tm 0.337 0.673 0.327
Al 0.616 0.233 0.282
Al 0.384 0.767 0.718
Zn 0.713 0.425 0.045
Zn 0.287 0.575 0.955
Zn 0.927 0.854 0.593
Zn 0.073 0.146 0.407

Computed properties:
Total energy ... -3.313 eV per atom
Size of the total moment ... 0.00 μB/f.u.
DOS(E_F) ... 5.1 states/eV/cell

(7)
Computed, not measured: crystalline Tm6AlZn2 at its relaxed geometry at the PBE-GGA level of DFT.

Cell: 4.898 4.898 11.054 Å, 102.80 102.80 90.00°
Fractional coordinates of all 9 atoms:
Tm 0.914 0.414 0.828
Tm 0.414 0.914 0.828
Tm 0.086 0.586 0.172
Tm 0.750 0.250 0.500
Tm 0.250 0.750 0.500
Tm 0.586 0.086 0.172
Al 0.000 0.000 0.000
Zn 0.332 0.332 0.665
Zn 0.668 0.668 0.335

Computed properties:
Size of the total moment ... 0.00 μB/f.u.
DOS(E_F) ... 9.5 states/eV/cell
Energy relative to the lowest polymorph listed for this composition ... 0.239 eV per atom

(8)
Computed, not measured: crystalline Tm6Al3Zn at its relaxed geometry at the PBE-GGA level of DFT.

Cell: 5.064 8.841 11.287 Å, 108.92 90.00 90.00°
Fractional coordinates of all 20 atoms:
Tm 0.250 0.467 0.085
Tm 0.750 0.533 0.915
Tm 0.250 0.137 0.163
Tm 0.750 0.863 0.837
Tm 0.250 0.663 0.665
Tm 0.750 0.337 0.335
Tm 0.250 0.247 0.500
Tm 0.750 0.753 0.500
Tm 0.250 0.842 0.313
Tm 0.750 0.158 0.687
Tm 0.250 0.106 0.872
Tm 0.750 0.894 0.128
Al 0.250 0.528 0.375
Al 0.750 0.472 0.625
Al 0.250 0.389 0.781
Al 0.750 0.611 0.219
Al 0.250 0.771 0.965
Al 0.750 0.229 0.035
Zn 0.250 0.961 0.599
Zn 0.750 0.039 0.401

Computed properties:
Total energy ... -4.219 eV per atom
Size of the total moment ... 0.00 μB/f.u.
DOS(E_F) ... 17.7 states/eV/cell

(9)
Computed, not measured: crystalline Tm4Al2Zn at its relaxed geometry at the PBE-GGA level of DFT.

Cell: 4.998 4.998 8.616 Å, 73.14 73.14 60.00°
Fractional coordinates of all 7 atoms:
Zn 0.000 0.000 0.000
Tm 0.873 0.873 0.381
Tm 0.127 0.127 0.619
Tm 0.622 0.622 0.134
Tm 0.378 0.378 0.866
Al 0.749 0.749 0.754
Al 0.251 0.251 0.246

Computed properties:
Total energy ... -4.042 eV per atom
Size of the total moment ... 0.00 μB/f.u.
DOS(E_F) ... 5.2 states/eV/cell

(10)
Computed, not measured: crystalline Tm3AlZn3 at its relaxed geometry at the PBE-GGA level of DFT.

Cell: 4.454 3.511 9.984 Å, 100.13 102.89 90.00°
Fractional coordinates of all 7 atoms:
Tm 0.303 0.803 0.606
Tm 0.694 0.194 0.388
Tm 0.002 0.002 0.005
Al 0.434 0.434 0.867
Zn 0.140 0.640 0.281
Zn 0.860 0.360 0.719
Zn 0.567 0.567 0.135

Computed properties:
Total energy ... -3.349 eV per atom
Size of the total moment ... 0.00 μB/f.u.
DOS(E_F) ... 5.3 states/eV/cell

(11)
Computed, not measured: crystalline Tm3AlZn at its relaxed geometry at the PBE-GGA level of DFT.

Cell: 4.842 7.855 7.855 Å, 119.99 90.00 90.00°
Fractional coordinates of all 10 atoms:
Tm 0.250 0.807 0.193
Tm 0.750 0.193 0.807
Tm 0.250 0.807 0.614
Tm 0.750 0.193 0.386
Tm 0.250 0.386 0.193
Tm 0.750 0.614 0.807
Al 0.250 0.333 0.667
Al 0.750 0.667 0.333
Zn 0.000 0.000 0.000
Zn 0.500 0.000 0.000

Computed properties:
Size of the total moment ... 0.00 μB/f.u.
DOS(E_F) ... 5.1 states/eV/cell
Energy relative to the lowest polymorph listed for this composition ... 0.205 eV per atom

(12)
Computed, not measured: crystalline Tm8AlZn2 at its relaxed geometry at the PBE-GGA level of DFT.

Cell: 4.850 8.184 8.591 Å, 118.45 106.40 90.00°
Fractional coordinates of all 11 atoms:
Tm 0.662 0.881 0.324
Tm 0.338 0.556 0.676
Tm 0.138 0.138 0.276
Tm 0.000 0.311 0.000
Tm 0.862 0.862 0.724
Tm 0.662 0.444 0.324
Tm 0.338 0.119 0.676
Tm 0.000 0.689 0.000
Al 0.500 0.000 0.000
Zn 0.196 0.696 0.392
Zn 0.804 0.304 0.608

Computed properties:
Size of the total moment ... 0.00 μB/f.u.
DOS(E_F) ... 10.4 states/eV/cell
Energy relative to the lowest polymorph listed for this composition ... 0.000 eV per atom

- The highest DOS(E_F) belongs to which entry?
  Tm6Al3Zn